Record 1
First-principles (PBE) data for a relaxed Na2PmTi2O7 crystal, as listed in the Alexandria database.

Computed properties:
The value obtained for the uncorrected formation energy is -2.64 eV per atom.

Lattice parameters (Å, degrees): 10.621 10.621 10.621 159.17 159.17 29.63
Element x y z (fractional)
Na1 0.196 0.196 0.000
Na2 0.804 0.804 0.000
Pm1 0.000 0.000 0.000
Ti1 0.395 0.395 0.000
Ti2 0.605 0.605 0.000
O1 0.086 0.586 0.500
O2 0.308 0.308 0.000
O3 0.414 0.914 0.500
O4 0.500 0.500 0.000
O5 0.586 0.086 0.500
O6 0.692 0.692 0.000
O7 0.914 0.414 0.500



Record 2
First-principles (PBE) data for a relaxed Er4BiPbS2 crystal, as listed in the Alexandria database.

Computed properties:
The value obtained for the uncorrected formation energy is -1.21 eV per atom.

Lattice parameters (Å, degrees): 7.191 4.034 7.341 90.00 108.44 90.00
Element x y z (fractional)
Er1 0.237 0.000 0.215
Er2 0.263 0.500 0.783
Er3 0.737 0.500 0.217
Er4 0.763 0.000 0.785
Bi1 0.000 0.000 0.500
Pb1 0.500 0.500 0.500
S1 0.000 0.500 0.000
S2 0.500 0.000 0.000



Record 3
First-principles (PBE) data for a relaxed TmSi2Pb2Au7 crystal, as listed in the Alexandria database.

Computed properties:
The value obtained for the uncorrected formation energy is -0.21 eV per atom.

Lattice parameters (Å, degrees): 4.334 4.334 14.970 98.05 98.05 90.03
Element x y z (fractional)
Tm1 0.000 0.000 0.000
Si1 0.390 0.390 0.772
Si2 0.610 0.610 0.228
Pb1 0.201 0.201 0.408
Pb2 0.799 0.799 0.592
Au1 0.069 0.570 0.143
Au2 0.307 0.307 0.607
Au3 0.430 0.931 0.857
Au4 0.500 0.500 0.000
Au5 0.570 0.069 0.143
Au6 0.693 0.693 0.393
Au7 0.931 0.430 0.857



Record 4
First-principles (PBE) data for a relaxed CaIr2 crystal, as listed in the Alexandria database.

Computed properties:
The formation energy comes out at 354 meV per atom.

Lattice parameters (Å, degrees): 2.894 2.894 7.114 90.00 90.00 120.00
Element x y z (fractional)
Ca1 0.000 0.000 0.000
Ir1 0.333 0.667 0.348
Ir2 0.667 0.333 0.652



Record 5
First-principles (PBE) data for a relaxed LiV3Co crystal, as listed in the Alexandria database.

Computed properties:
The value obtained for the energy above the most stable polymorph in this dataset is 463 meV/atom. The formation energy comes out at 1298 meV per atom.

Lattice parameters (Å, degrees): 4.039 4.039 4.039 90.00 90.00 90.00
Element x y z (fractional)
Li1 0.000 0.000 0.000
V1 0.000 0.000 0.500
V2 0.000 0.500 0.000
V3 0.500 0.000 0.000
Co1 0.500 0.500 0.500



Record 6
First-principles (PBE) data for a relaxed Sm2YAl6 crystal, as listed in the Alexandria database.

Computed properties:
The value obtained for the energy above the most stable polymorph in this dataset is 258 meV/atom. The formation energy comes out at -233 meV per atom.

Lattice parameters (Å, degrees): 8.605 8.605 8.605 156.49 125.17 60.46
Element x y z (fractional)
Sm1 0.155 0.155 0.000
Sm2 0.845 0.845 0.000
Y1 0.500 0.000 0.500
Al1 0.170 0.500 0.670
Al2 0.175 0.344 0.831
Al3 0.487 0.656 0.831
Al4 0.513 0.344 0.169
Al5 0.825 0.656 0.169
Al6 0.830 0.500 0.330



Record 7
First-principles (PBE) data for a relaxed TlZn4 crystal, as listed in the Alexandria database.

Computed properties:
The value obtained for the energy above the most stable polymorph in this dataset is 71 meV/atom. The formation energy comes out at 178 meV per atom.

Lattice parameters (Å, degrees): 5.111 5.111 5.111 99.99 99.99 130.77
Element x y z (fractional)
Tl1 0.000 0.000 0.000
Zn1 0.186 0.423 0.609
Zn2 0.423 0.814 0.237
Zn3 0.577 0.186 0.763
Zn4 0.814 0.577 0.391



Record 8
First-principles (PBE) data for a relaxed Ca2IrPt2 crystal, as listed in the Alexandria database.

Computed properties:
The value obtained for the energy above the most stable polymorph in this dataset is 584 meV/atom. The formation energy comes out at -6 meV per atom.

Lattice parameters (Å, degrees): 8.358 8.358 2.905 90.00 90.00 90.00
Element x y z (fractional)
Ca1 0.176 0.324 0.000
Ca2 0.324 0.824 0.000
Ca3 0.676 0.176 0.000
Ca4 0.824 0.676 0.000
Ir1 0.000 0.000 0.000
Ir2 0.500 0.500 0.000
Pt1 0.121 0.621 0.500
Pt2 0.379 0.121 0.500
Pt3 0.621 0.879 0.500
Pt4 0.879 0.379 0.500



Record 9
First-principles (PBE) data for a relaxed AcCeGeTe crystal, as listed in the Alexandria database.

Computed properties:
The value obtained for the uncorrected formation energy is -0.84 eV per atom.

Lattice parameters (Å, degrees): 5.498 5.498 5.498 60.00 60.00 60.00
Element x y z (fractional)
Ac1 0.000 0.000 0.000
Ce1 0.500 0.500 0.500
Ge1 0.750 0.750 0.750
Te1 0.250 0.250 0.250



Record 10
First-principles (PBE) data for a relaxed AcLa12Tl4O3 crystal, as listed in the Alexandria database.

Computed properties:
The value obtained for the uncorrected formation energy is -0.79 eV per atom.

Lattice parameters (Å, degrees): 9.120 9.120 9.120 109.47 109.47 109.47
Element x y z (fractional)
Ac1 0.000 0.000 0.000
La1 0.000 0.278 0.278
La2 0.000 0.722 0.722
La3 0.250 0.500 0.750
La4 0.250 0.750 0.500
La5 0.278 0.000 0.278
La6 0.278 0.278 0.000
La7 0.500 0.250 0.750
La8 0.500 0.750 0.250
La9 0.722 0.000 0.722
La10 0.722 0.722 0.000
La11 0.750 0.250 0.500
La12 0.750 0.500 0.250
Tl1 0.000 0.000 0.500
Tl2 0.000 0.500 0.000
Tl3 0.500 0.000 0.000
Tl4 0.500 0.500 0.500
O1 0.000 0.500 0.500
O2 0.500 0.000 0.500
O3 0.500 0.500 0.000



Record 11
First-principles (PBE) data for a relaxed EuVGe2 crystal, as listed in the Alexandria database.

Computed properties:
The value obtained for the energy above the most stable polymorph in this dataset is 0 meV/atom. The formation energy comes out at -268 meV per atom.

Lattice parameters (Å, degrees): 3.390 3.390 6.763 90.00 90.00 90.00
Element x y z (fractional)
Eu1 0.000 0.000 0.000
V1 0.000 0.000 0.500
Ge1 0.500 0.500 0.308
Ge2 0.500 0.500 0.692



Record 12
First-principles (PBE) data for a relaxed CuTcCl2 crystal, as listed in the Alexandria database.

Computed properties:
The value obtained for the energy above the most stable polymorph in this dataset is 424 meV/atom. The value obtained for the uncorrected formation energy is 0.42 eV per atom.

Lattice parameters (Å, degrees): 4.987 4.987 3.159 101.89 101.89 104.90
Element x y z (fractional)
Cu1 0.000 0.000 0.000
Tc1 0.500 0.500 0.000
Cl1 0.000 0.500 0.000
Cl2 0.500 0.000 0.000



Record 13
First-principles (PBE) data for a relaxed MgBeCr crystal, as listed in the Alexandria database.

Computed properties:
The value obtained for the energy above the most stable polymorph in this dataset is 312 meV/atom. The formation energy comes out at 417 meV per atom.

Lattice parameters (Å, degrees): 6.211 6.211 6.211 156.28 156.28 33.79
Element x y z (fractional)
Mg1 0.000 0.000 0.000
Be1 0.675 0.675 0.000
Cr1 0.312 0.312 0.000



Record 14
First-principles (PBE) data for a relaxed SrAc2Ga3 crystal, as listed in the Alexandria database.

Computed properties:
The formation energy comes out at -406 meV per atom.

Lattice parameters (Å, degrees): 3.924 3.924 11.793 90.00 90.00 90.00
Element x y z (fractional)
Sr1 0.000 0.000 0.000
Ac1 0.000 0.000 0.331
Ac2 0.000 0.000 0.669
Ga1 0.500 0.500 0.168
Ga2 0.500 0.500 0.500
Ga3 0.500 0.500 0.832



Record 15
First-principles (PBE) data for a relaxed Sc2NiAg crystal, as listed in the Alexandria database.

Computed properties:
The formation energy comes out at -222 meV per atom.

Lattice parameters (Å, degrees): 5.800 5.800 5.800 148.04 133.66 57.40
Element x y z (fractional)
Sc1 0.000 0.000 0.000
Sc2 0.706 0.206 0.500
Ni1 0.498 0.498 0.000
Ag1 0.281 0.781 0.500



Record 16
First-principles (PBE) data for a relaxed DyTm2NpN4 crystal, as listed in the Alexandria database.

Computed properties:
The value obtained for the uncorrected formation energy is -1.60 eV per atom.

Lattice parameters (Å, degrees): 5.923 3.426 5.925 90.00 108.99 90.00
Element x y z (fractional)
Dy1 0.000 0.000 0.000
Tm1 0.500 0.000 0.500
Tm2 0.500 0.500 0.000
Np1 0.000 0.500 0.500
N1 0.246 0.500 0.261
N2 0.250 0.000 0.746
N3 0.750 0.000 0.254
N4 0.754 0.500 0.739



Record 17
First-principles (PBE) data for a relaxed Mg2TcSN crystal, as listed in the Alexandria database.

Computed properties:
The value obtained for the uncorrected formation energy is 0.29 eV per atom.

Lattice parameters (Å, degrees): 5.162 5.162 3.727 90.00 90.00 90.00
Element x y z (fractional)
Mg1 0.000 0.500 0.000
Mg2 0.500 0.000 0.000
Tc1 0.000 0.000 0.000
S1 0.500 0.500 0.500
N1 0.000 0.000 0.500



Record 18
First-principles (PBE) data for a relaxed SrMgIn2 crystal, as listed in the Alexandria database.

Computed properties:
The formation energy comes out at -299 meV per atom.

Lattice parameters (Å, degrees): 3.776 3.761 7.849 90.00 90.18 90.00
Element x y z (fractional)
Sr1 0.000 0.000 0.000
Mg1 0.000 0.000 0.500
In1 0.500 0.500 0.293
In2 0.500 0.500 0.707



Record 19
First-principles (PBE) data for a relaxed LiCe5S6 crystal, as listed in the Alexandria database.

Computed properties:
The value obtained for the uncorrected formation energy is -1.93 eV per atom.

Lattice parameters (Å, degrees): 6.939 6.939 6.933 99.62 99.62 120.08
Element x y z (fractional)
Li1 0.000 0.000 0.000
Ce1 0.167 0.833 0.500
Ce2 0.334 0.666 0.000
Ce3 0.500 0.500 0.500
Ce4 0.666 0.334 0.000
Ce5 0.833 0.167 0.500
S1 0.081 0.407 0.244
S2 0.244 0.244 0.755
S3 0.407 0.081 0.244
S4 0.593 0.919 0.756
S5 0.756 0.756 0.245
S6 0.919 0.593 0.756



Record 20
First-principles (PBE) data for a relaxed Zr2FeSi crystal, as listed in the Alexandria database.

Computed properties:
The value obtained for the uncorrected formation energy is -0.06 eV per atom.

Lattice parameters (Å, degrees): 7.780 7.780 7.780 24.91 24.91 24.91
Element x y z (fractional)
Zr1 0.247 0.247 0.247
Zr2 0.753 0.753 0.753
Fe1 0.500 0.500 0.500
Si1 0.000 0.000 0.000



Record 21
First-principles (PBE) data for a relaxed Cr2Au crystal, as listed in the Alexandria database.

Computed properties:
The formation energy comes out at 469 meV per atom.

Lattice parameters (Å, degrees): 7.309 7.309 4.413 90.00 90.00 159.52
Element x y z (fractional)
Cr1 0.053 0.947 0.750
Cr2 0.281 0.719 0.250
Cr3 0.719 0.281 0.750
Cr4 0.947 0.053 0.250
Au1 0.386 0.614 0.750
Au2 0.614 0.386 0.250



Record 22
First-principles (PBE) data for a relaxed KPtCl2 crystal, as listed in the Alexandria database.

Computed properties:
The value obtained for the energy above the most stable polymorph in this dataset is 131 meV/atom. The value obtained for the uncorrected formation energy is -0.67 eV per atom.

Lattice parameters (Å, degrees): 7.108 7.108 7.108 44.05 44.05 44.05
Element x y z (fractional)
K1 0.000 0.000 0.000
Pt1 0.500 0.500 0.500
Cl1 0.384 0.384 0.384
Cl2 0.616 0.616 0.616



Record 23
First-principles (PBE) data for a relaxed CoGeTe2 crystal, as listed in the Alexandria database.

Computed properties:
The value obtained for the uncorrected formation energy is 0.13 eV per atom.

Lattice parameters (Å, degrees): 7.334 7.334 7.334 131.20 131.20 71.50
Element x y z (fractional)
Co1 0.000 0.000 0.000
Co2 0.750 0.250 0.500
Ge1 0.250 0.750 0.500
Ge2 0.500 0.500 0.000
Te1 0.073 0.625 0.948
Te2 0.375 0.323 0.448
Te3 0.677 0.125 0.052
Te4 0.875 0.927 0.552



Record 24
First-principles (PBE) data for a relaxed Sr2AlPd2 crystal, as listed in the Alexandria database.

Computed properties:
The formation energy comes out at -508 meV per atom.

Lattice parameters (Å, degrees): 7.329 7.329 4.595 90.00 90.00 90.00
Element x y z (fractional)
Sr1 0.172 0.328 0.000
Sr2 0.328 0.828 0.000
Sr3 0.672 0.172 0.000
Sr4 0.828 0.672 0.000
Al1 0.000 0.000 0.500
Al2 0.500 0.500 0.500
Pd1 0.138 0.638 0.500
Pd2 0.362 0.138 0.500
Pd3 0.638 0.862 0.500
Pd4 0.862 0.362 0.500



Record 25
First-principles (PBE) data for a relaxed RbSnTe4 crystal, as listed in the Alexandria database.

Computed properties:
The value obtained for the uncorrected formation energy is -0.26 eV per atom.

Lattice parameters (Å, degrees): 8.482 8.482 7.365 90.12 90.12 64.45
Element x y z (fractional)
Rb1 0.222 0.222 0.225
Rb2 0.778 0.778 0.775
Sn1 0.478 0.478 0.795
Sn2 0.522 0.522 0.205
Te1 0.128 0.719 0.380
Te2 0.178 0.822 0.000
Te3 0.281 0.872 0.620
Te4 0.287 0.287 0.727
Te5 0.713 0.713 0.273
Te6 0.719 0.128 0.380
Te7 0.822 0.178 0.000
Te8 0.872 0.281 0.620



Record 26
First-principles (PBE) data for a relaxed BaCaBr2 crystal, as listed in the Alexandria database.

Computed properties:
The value obtained for the energy above the most stable polymorph in this dataset is 0 meV/atom. The value obtained for the uncorrected formation energy is -1.44 eV per atom.

Lattice parameters (Å, degrees): 4.256 4.256 8.053 90.00 90.00 90.00
Element x y z (fractional)
Ba1 0.000 0.000 0.000
Ca1 0.500 0.500 0.582
Br1 0.000 0.000 0.482
Br2 0.500 0.500 0.195



In the order shown, the computed size of the total moment values come out to 0.9; 0.0; 0.0; 0.0; 2.9; 0.0; 0.0; 0.0; 0.9; 0.0; 5.3; 2.6; 0.0; 0.0; 0.0; 3.1; 0.6; 0.0; 4.6; 0.5; 0.0; 1.0; 0.0; 0.0; 0.0; 0.0 μB/f.u..